Here is an optimized crystal structure of TbEr2Ni2B2N3 from OQMD. Energies are from PBE-GGA.

a = 10.3083 Å, b = 10.3083 Å, c = 10.3083 Å
α = 160.70°, β = 160.70°, γ = 27.43°
Positions (direct):
B 0.1896 0.1896 0.0000
B 0.8104 0.8104 0.0000
Er 0.3769 0.3769 0.0000
Er 0.6231 0.6231 0.0000
N 0.1168 0.1168 0.0000
N 0.5000 0.5000 0.0000
N 0.8832 0.8832 0.0000
Ni 0.7500 0.2500 0.5000
Ni 0.2500 0.7500 0.5000
Tb 0.0000 0.0000 0.0000

Output
total DFT energy (no corrections): -7.554 eV/atom